[1]
A plane-wave DFT calculation with PBE was carried out for a geometry-optimized PuS2ClO8 structure.

Cell: 6.0600 6.0600 5.6668 Å, 90.35 90.35 59.96°
Fractional coordinates of all 12 atoms:
Pu 0.0000 0.0000 0.0000
S 0.6674 0.6674 0.2455
S 0.3326 0.3326 0.7545
Cl 0.0000 0.0000 0.5000
O 0.5979 0.2018 0.8530
O 0.7980 0.7980 0.1419
O 0.6696 0.6696 0.4994
O 0.3304 0.3304 0.5006
O 0.2020 0.2020 0.8581
O 0.2018 0.5979 0.8530
O 0.7982 0.4021 0.1470
O 0.4021 0.7982 0.1470

Output
Total energy = -6.834 eV/atom
Fermi-level density of states = 12.96 states/eV/f.u.
Formation energy from raw total energies = -1.49 eV/atom



[2]
A plane-wave DFT calculation with PBE was carried out for a geometry-optimized CaHfTl2V structure.

Cell: 5.6285 4.6896 5.6285 Å, 90.00 90.00 90.00°
Fractional coordinates of all 5 atoms:
Tl 0.0000 0.0000 0.5000
Tl 0.5000 0.0000 0.0000
Hf 0.0000 0.0000 0.0000
Ca 0.5000 0.5000 0.5000
V 0.0000 0.5000 0.0000

Output
DFT formation energy = 0.68 eV per atom
Total energy = -4.484 eV/atom
Fermi-level density of states = 5.85 states/eV/f.u.



[3]
A plane-wave DFT calculation with PBE was carried out for a geometry-optimized Mn2HgRu structure.

Cell: 4.8894 4.8894 4.8894 Å, 132.42 132.42 69.56°
Fractional coordinates of all 4 atoms:
Hg 0.7500 0.2500 0.5000
Mn 0.0000 0.0000 0.0000
Mn 0.2500 0.7500 0.5000
Ru 0.5000 0.5000 0.0000

Output
DFT formation energy = 0.40 eV per atom
Total energy = -6.579 eV/atom
Fermi-level density of states = 5.37 states/eV/f.u.



[4]
A plane-wave DFT calculation with PBE was carried out for a geometry-optimized CaReCl structure.

Cell: 4.7256 4.7256 4.7256 Å, 60.00 60.00 60.00°
Fractional coordinates of all 3 atoms:
Re 0.0000 0.0000 0.0000
Ca 0.5000 0.5000 0.5000
Cl 0.2500 0.2500 0.2500

Output
Total energy = -4.373 eV/atom
Energy above the most stable polymorph in this dataset = 764 meV per atom
Fermi-level density of states = 4.12 states/eV/f.u.
Formation energy from raw total energies = 1.06 eV/atom



[5]
A plane-wave DFT calculation with PBE was carried out for a geometry-optimized MnTcTeN2 structure.

Cell: 3.8729 3.8729 5.7105 Å, 90.00 90.00 90.00°
Fractional coordinates of all 5 atoms:
Te 0.0000 0.0000 0.5000
Tc 0.0000 0.0000 0.0000
Mn 0.5000 0.5000 0.5000
N 0.0000 0.5000 0.0000
N 0.5000 0.0000 0.0000

Output
Total energy = -7.257 eV/atom
Energy above the most stable polymorph in this dataset = 0 meV per atom
Fermi-level density of states = 2.56 states/eV/f.u.
Formation energy from raw total energies = 0.61 eV/atom



[6]
A plane-wave DFT calculation with PBE was carried out for a geometry-optimized ErZnH structure.

Cell: 3.1570 3.1570 5.6551 Å, 106.21 106.21 90.00°
Fractional coordinates of all 3 atoms:
H 0.2684 0.2684 0.5368
Zn 0.0141 0.0141 0.0281
Er 0.7175 0.7175 0.4351

Output
Total energy = -3.066 eV/atom
Energy above the most stable polymorph in this dataset = 467 meV per atom
Fermi-level density of states = 2.08 states/eV/f.u.



[7]
A plane-wave DFT calculation with PBE was carried out for a geometry-optimized CeIn4SnRh2 structure.

Cell: 4.3262 4.3262 10.4550 Å, 90.00 90.00 90.00°
Fractional coordinates of all 8 atoms:
Ce 0.0000 0.0000 0.0000
In 0.0000 0.5000 0.2821
In 0.5000 0.0000 0.7179
In 0.5000 0.0000 0.2821
In 0.0000 0.5000 0.7179
Sn 0.0000 0.0000 0.5000
Rh 0.5000 0.5000 0.1211
Rh 0.5000 0.5000 0.8789

Output
DFT formation energy = -0.22 eV per atom
Total energy = -4.670 eV/atom
Fermi-level density of states = 10.38 states/eV/f.u.



[8]
A plane-wave DFT calculation with PBE was carried out for a geometry-optimized Ac6Ir2SCl3 structure.

Cell: 7.6499 7.6499 8.1734 Å, 98.90 98.90 120.03°
Fractional coordinates of all 12 atoms:
Ac 0.9310 0.5802 0.7930
Ac 0.7179 0.7179 0.2061
Ac 0.0690 0.4198 0.2070
Ac 0.5802 0.9310 0.7930
Ac 0.2821 0.2821 0.7939
Ac 0.4198 0.0690 0.2070
Ir 0.3330 0.6670 0.0000
Ir 0.6670 0.3330 0.0000
S 0.0000 0.0000 0.0000
Cl 0.1606 0.8394 0.5000
Cl 0.8394 0.1606 0.5000
Cl 0.5000 0.5000 0.5000

Output
Total energy = -5.747 eV/atom
Fermi-level density of states = 6.16 states/eV/f.u.
Formation energy from raw total energies = -1.41 eV/atom



[9]
A plane-wave DFT calculation with PBE was carried out for a geometry-optimized Fe2NiRu structure.

Cell: 4.4065 4.4065 4.4065 Å, 131.31 131.31 71.33°
Fractional coordinates of all 4 atoms:
Fe 0.0000 0.0000 0.0000
Fe 0.2500 0.7500 0.5000
Ni 0.5000 0.5000 0.0000
Ru 0.7500 0.2500 0.5000

Output
DFT formation energy = 0.10 eV per atom
Total energy = -7.897 eV/atom
Fermi-level density of states = 5.04 states/eV/f.u.



[10]
A plane-wave DFT calculation with PBE was carried out for a geometry-optimized TbSi2Ni structure.

Cell: 3.8926 3.8926 5.5658 Å, 69.53 69.53 60.00°
Fractional coordinates of all 4 atoms:
Ni 0.0000 0.0000 0.0000
Si 0.7104 0.7104 0.8689
Si 0.2896 0.2896 0.1311
Tb 0.5000 0.5000 0.5000

Output
Total energy = -6.090 eV/atom
Fermi-level density of states = 1.05 states/eV/f.u.
Formation energy from raw total energies = -0.78 eV/atom



[11]
A plane-wave DFT calculation with PBE was carried out for a geometry-optimized Cu3BiW structure.

Cell: 4.7365 4.7365 4.7365 Å, 90.00 90.00 90.00°
Fractional coordinates of all 5 atoms:
Cu 0.0000 0.5000 0.0000
Cu 0.0000 0.0000 0.5000
Cu 0.5000 0.0000 0.0000
Bi 0.5000 0.5000 0.5000
W 0.0000 0.0000 0.0000

Output
DFT formation energy = 1.32 eV per atom
Total energy = -4.500 eV/atom
Energy above the most stable polymorph in this dataset = 0 meV per atom
Fermi-level density of states = 3.65 states/eV/f.u.



[12]
A plane-wave DFT calculation with PBE was carried out for a geometry-optimized K19Rb4Hg6 structure.

Cell: 13.5429 13.5429 13.5429 Å, 109.47 109.47 109.47°
Fractional coordinates of all 29 atoms:
K 0.7094 0.0000 0.7094
K 0.2906 0.0000 0.2906
K 0.2906 0.2906 0.0000
K 0.7094 0.7094 0.0000
K 0.0000 0.7094 0.7094
K 0.0000 0.2906 0.2906
K 0.0000 0.0000 0.0000
K 0.3460 0.2625 0.6462
K 0.6540 0.3003 0.9165
K 0.6163 0.6997 0.3538
K 0.9165 0.6540 0.3003
K 0.3837 0.7375 0.0835
K 0.6462 0.3460 0.2625
K 0.0835 0.3837 0.7375
K 0.3538 0.6163 0.6997
K 0.7375 0.0835 0.3837
K 0.3003 0.9165 0.6540
K 0.2625 0.6462 0.3460
K 0.6997 0.3538 0.6163
Rb 0.0000 0.0000 0.5915
Rb 0.0000 0.5915 0.0000
Rb 0.4085 0.4085 0.4085
Rb 0.5915 0.0000 0.0000
Hg 0.4046 0.5000 0.9046
Hg 0.5954 0.5000 0.0954
Hg 0.0954 0.5954 0.5000
Hg 0.9046 0.4046 0.5000
Hg 0.5000 0.9046 0.4046
Hg 0.5000 0.0954 0.5954

Output
DFT formation energy = -0.06 eV per atom
Total energy = -0.974 eV/atom
Fermi-level density of states = 15.08 states/eV/f.u.